(1)
Here is a relaxed ZnFe2Os crystal from the Alexandria database. Energies are from GGA-PBE.

Results
volume	12.8	Å³ per atom
symmetry	F-43m
total energy	-7.1262	eV per atom
formation energy from the elements	231	meV per atom

a = 4.1722 Å, b = 4.1722 Å, c = 4.1722 Å
α = 60.00°, β = 60.00°, γ = 60.00°
With the nearest neighbours (Å) after each atom.
Positions (direct):
Zn  0.0000  0.0000  0.0000  4 Fe 2.55, 4 Os 2.55
Fe  0.5000  0.5000  0.5000  4 Fe 2.55, 4 Os 2.55
Fe  0.7500  0.7500  0.7500  4 Fe 2.55, 4 Zn 2.55
Os  0.2500  0.2500  0.2500  4 Fe 2.55, 4 Zn 2.55

---

(2)
Here is a relaxed TaTiVIn2 crystal from the Alexandria database. Energies are from GGA-PBE.

Results
volume	21.4	Å³ per atom
symmetry	P4/mmm
total energy	-5.8374	eV per atom
formation energy from the elements	1031	meV per atom

a = 5.0443 Å, b = 5.0443 Å, c = 4.2101 Å
α = 90.00°, β = 90.00°, γ = 90.00°
With the nearest neighbours (Å) after each atom.
Positions (direct):
Ta  0.0000  0.0000  0.0000  8 In 3.29, 4 Ti 3.57
Ti  0.5000  0.5000  0.0000  2 V 2.11
V  0.5000  0.5000  0.5000  2 Ti 2.11
In  0.0000  0.5000  0.5000  2 V 2.52
In  0.5000  0.0000  0.5000  2 V 2.52

---

(3)
Here is a relaxed YbGaCuO4 crystal from the Alexandria database. Energies are from GGA-PBE.

Results
volume	12.5	Å³ per atom
formation energy (no corrections)	-12.6	eV per formula unit
symmetry	R3m
total energy	-5.8678	eV per atom

a = 8.3121 Å, b = 8.3121 Å, c = 8.3121 Å
α = 24.62°, β = 24.62°, γ = 24.62°
With the nearest neighbours (Å) after each atom.
Positions (direct):
Yb  0.0000  0.0000  0.0000  6 O 2.28-2.35
Ga  0.2090  0.2090  0.2090  5 O 1.84-2.06
Cu  0.7851  0.7851  0.7851  5 O 1.86-2.06
O  0.1287  0.1287  0.1287  1 Ga 1.94, 3 Cu 2.06
O  0.2851  0.2851  0.2851  1 Ga 1.84
O  0.7080  0.7080  0.7080  1 Cu 1.86
O  0.8672  0.8672  0.8672  1 Cu 1.98, 3 Ga 2.06

---

(4)
Here is a relaxed KRe2S4 crystal from the Alexandria database. Energies are from GGA-PBE.

Results
energy above the lowest structure with this stoichiometry	328	meV/atom
volume	20.3	Å³ per atom
formation energy (no corrections)	-2.0	eV per formula unit
symmetry	Cc
total energy	-6.3579	eV per atom

a = 6.8160 Å, b = 6.8160 Å, c = 8.0016 Å
α = 118.67°, β = 118.67°, γ = 82.58°
With the nearest neighbours (Å) after each atom.
Positions (direct):
K  0.1225  0.8775  0.5000  4 S 2.80-2.84
K  0.8775  0.1225  0.0000  4 S 2.80-2.84
Re  0.0785  0.5222  0.7984  5 S 2.36-2.57
Re  0.4704  0.5223  0.7976  5 S 2.37-2.56
Re  0.5222  0.0785  0.2984  5 S 2.36-2.57
Re  0.5223  0.4704  0.2976  5 S 2.37-2.56
S  0.2553  0.7327  0.1816  2 Re 2.36-2.55
S  0.2821  0.8444  0.8842  3 Re 2.37-2.57
S  0.2885  0.3546  0.3856  3 Re 2.37-2.56
S  0.3546  0.2885  0.8856  3 Re 2.37-2.56
S  0.6740  0.7004  0.1816  2 Re 2.37-2.55
S  0.7004  0.6740  0.6816  2 Re 2.37-2.55
S  0.7327  0.2553  0.6816  2 Re 2.36-2.55
S  0.8444  0.2821  0.3842  3 Re 2.37-2.57

---

(5)
Here is a relaxed Tl2TeS crystal from the Alexandria database. Energies are from GGA-PBE.

Results
energy above the lowest structure with this stoichiometry	38	meV/atom
volume	30.3	Å³ per atom
formation energy (no corrections)	-0.4	eV per formula unit
symmetry	R3m
total energy	-3.0997	eV per atom

a = 8.1833 Å, b = 8.1833 Å, c = 8.1833 Å
α = 29.99°, β = 29.99°, γ = 29.99°
With the nearest neighbours (Å) after each atom.
Positions (direct):
Tl  0.0000  0.0000  0.0000  3 S 2.91, 3 Te 3.03
Tl  0.1535  0.1535  0.1535  3 S 3.17, 3 Te 3.44
Te  0.5902  0.5902  0.5902  3 Tl 3.03
S  0.4008  0.4008  0.4008  6 Tl 2.91-3.17

---

(6)
Here is a relaxed Sm3DyTh2S6 crystal from the Alexandria database. Energies are from GGA-PBE.

Results
volume	22.7	Å³ per atom
formation energy (no corrections)	-23.3	eV per formula unit
symmetry	C2/m
total energy	-6.8044	eV per atom

a = 6.9218 Å, b = 6.9218 Å, c = 6.9479 Å
α = 99.60°, β = 99.60°, γ = 119.84°
With the nearest neighbours (Å) after each atom.
Positions (direct):
Sm  0.0000  0.0000  0.0000  6 S 2.81-2.87
Sm  0.3323  0.6677  0.0000  6 S 2.82-2.86
Sm  0.6677  0.3323  0.0000  6 S 2.82-2.86
Dy  0.5000  0.5000  0.5000  6 S 2.79-2.80
Th  0.1668  0.8332  0.5000  6 S 2.85
Th  0.8332  0.1668  0.5000  6 S 2.85
S  0.0904  0.4170  0.2506  1 Dy 2.79, 3 Sm 2.81-2.86, 2 Th 2.85
S  0.2571  0.2571  0.7505  1 Dy 2.80, 3 Sm 2.82-2.87, 2 Th 2.85
S  0.4170  0.0904  0.2506  1 Dy 2.79, 3 Sm 2.81-2.86, 2 Th 2.85
S  0.5830  0.9096  0.7494  1 Dy 2.79, 3 Sm 2.81-2.86, 2 Th 2.85
S  0.7429  0.7429  0.2495  1 Dy 2.80, 3 Sm 2.82-2.87, 2 Th 2.85
S  0.9096  0.5830  0.7494  1 Dy 2.79, 3 Sm 2.81-2.86, 2 Th 2.85

---

(7)
Here is a relaxed PrUSb2 crystal from the Alexandria database. Energies are from GGA-PBE.

Results
energy above the lowest structure with this stoichiometry	161	meV/atom
volume	27.9	Å³ per atom
formation energy (no corrections)	-2.1	eV per formula unit
symmetry	P4/mmm
total energy	-6.6012	eV per atom

a = 3.7924 Å, b = 3.7924 Å, c = 7.7540 Å
α = 90.00°, β = 90.00°, γ = 90.00°
With the nearest neighbours (Å) after each atom.
Positions (direct):
Pr  0.0000  0.0000  0.0000  8 Sb 3.38
U  0.0000  0.0000  0.5000  8 Sb 3.24
Sb  0.5000  0.5000  0.2647  4 U 3.24, 4 Pr 3.38
Sb  0.5000  0.5000  0.7353  4 U 3.24, 4 Pr 3.38

---

(8)
Here is a relaxed Mg2Ag3Pd4 crystal from the Alexandria database. Energies are from GGA-PBE.

Results
volume	16.5	Å³ per atom
symmetry	P-1
total energy	-3.9744	eV per atom
formation energy from the elements	-362	meV per atom

a = 4.1049 Å, b = 4.8512 Å, c = 8.5588 Å
α = 75.58°, β = 89.84°, γ = 65.01°
With the nearest neighbours (Å) after each atom.
Positions (direct):
Mg  0.1680  0.1633  0.2138  7 Pd 2.79-2.86, 5 Ag 2.87-2.96
Mg  0.8320  0.8367  0.7862  7 Pd 2.79-2.86, 5 Ag 2.87-2.96
Ag  0.1642  0.1714  0.5547  3 Ag 2.78-2.85, 6 Pd 2.82-2.90, 3 Mg 2.93-2.96
Ag  0.5000  0.5000  0.0000  8 Pd 2.83-2.84, 4 Mg 2.87-2.88
Ag  0.8358  0.8286  0.4453  3 Ag 2.78-2.85, 6 Pd 2.82-2.90, 3 Mg 2.93-2.96
Pd  0.1653  0.1694  0.8870  4 Mg 2.79-2.82, 4 Ag 2.83-2.84, 4 Pd 2.89-2.94
Pd  0.4975  0.5049  0.6684  6 Ag 2.82-2.90, 3 Mg 2.83-2.86, 3 Pd 2.89-2.90
Pd  0.5025  0.4951  0.3316  6 Ag 2.82-2.90, 3 Mg 2.83-2.86, 3 Pd 2.89-2.90
Pd  0.8347  0.8306  0.1130  4 Mg 2.79-2.82, 4 Ag 2.83-2.84, 4 Pd 2.89-2.94